Record 1
# RbBN2Cl | Alexandria | PBE | optimized geometry
data_RbBN2Cl
_symmetry_space_group_name_H-M 'P 1'
_symmetry_Int_Tables_number 1
_cell_length_a 4.407
_cell_length_b 4.175
_cell_length_c 4.407
_cell_angle_alpha 90.00
_cell_angle_beta 90.00
_cell_angle_gamma 90.00
loop_
_symmetry_equiv_pos_as_xyz
'x,y,z'
loop_
_atom_site_label
_atom_site_fract_x
_atom_site_fract_y
_atom_site_fract_z
Cl1 0.000 0.000 0.000
N1 0.000 0.000 0.500
Rb1 0.500 0.500 0.500
N2 0.500 0.000 0.000
B1 0.000 0.500 0.000
# crystal system	tetragonal
# total magnetic moment	1.6	μB/f.u.
# formation energy (no corrections)	2.35	eV/atom
# electronic total energy	-2.874	eV/atom
# space group	P4/mmm, No. 123



Record 2
# Dy3Tm3Cu4 | Alexandria | PBE | optimized geometry
data_Dy3Tm3Cu4
_symmetry_space_group_name_H-M 'P 1'
_symmetry_Int_Tables_number 1
_cell_length_a 3.692
_cell_length_b 7.855
_cell_length_c 7.855
_cell_angle_alpha 89.29
_cell_angle_beta 90.00
_cell_angle_gamma 90.00
loop_
_symmetry_equiv_pos_as_xyz
'x,y,z'
loop_
_atom_site_label
_atom_site_fract_x
_atom_site_fract_y
_atom_site_fract_z
Dy1 0.500 0.662 0.668
Cu1 0.000 0.882 0.874
Dy2 0.500 0.838 0.162
Dy3 0.500 0.332 0.338
Cu2 0.000 0.126 0.118
Tm1 0.000 0.499 0.004
Cu3 0.000 0.375 0.625
Tm2 0.000 0.996 0.501
Cu4 0.000 0.622 0.378
Tm3 0.500 0.168 0.832
# crystal system	orthorhombic
# total magnetic moment	0.0	μB/f.u.
# DFT formation energy	-1.72	eV/f.u.
# electronic total energy	-4.533	eV/atom
# space group	Amm2, No. 38



Record 3
# LaPr4Cd2 | Alexandria | PBE | optimized geometry
data_LaPr4Cd2
_symmetry_space_group_name_H-M 'P 1'
_symmetry_Int_Tables_number 1
_cell_length_a 4.348
_cell_length_b 4.348
_cell_length_c 13.103
_cell_angle_alpha 99.55
_cell_angle_beta 99.55
_cell_angle_gamma 90.00
loop_
_symmetry_equiv_pos_as_xyz
'x,y,z'
loop_
_atom_site_label
_atom_site_fract_x
_atom_site_fract_y
_atom_site_fract_z
Pr1 0.750 0.250 0.500
Cd1 0.432 0.432 0.865
Pr2 0.869 0.869 0.738
La1 0.000 0.000 0.000
Pr3 0.131 0.131 0.262
Cd2 0.568 0.568 0.135
Pr4 0.250 0.750 0.500
# crystal system	tetragonal
# total magnetic moment	0.0	μB/f.u.
# DFT formation energy	1.07	eV/f.u.
# electronic total energy	-3.544	eV/atom
# space group	I4/mmm, No. 139



Record 4
# LaYTlRh | Alexandria | PBE | optimized geometry
data_LaYTlRh
_symmetry_space_group_name_H-M 'P 1'
_symmetry_Int_Tables_number 1
_cell_length_a 5.259
_cell_length_b 5.259
_cell_length_c 5.259
_cell_angle_alpha 60.00
_cell_angle_beta 60.00
_cell_angle_gamma 60.00
loop_
_symmetry_equiv_pos_as_xyz
'x,y,z'
loop_
_atom_site_label
_atom_site_fract_x
_atom_site_fract_y
_atom_site_fract_z
Tl1 0.000 0.000 0.000
La1 0.250 0.250 0.250
Rh1 0.500 0.500 0.500
Y1 0.750 0.750 0.750
# crystal system	cubic
# total magnetic moment	0.0	μB/f.u.
# DFT formation energy	-1.73	eV/f.u.
# electronic total energy	-5.709	eV/atom
# space group	F-43m, No. 216